SrNi2Bi2 after structural relaxation. Source: Alexandria via LeMat-Bulk, functional PBE-GGA.

Results
The calculation puts the energy of formation from the pure elements at -5 kJ/mol of atoms. The spin magnetization comes out at 0.000 μB per atom. The value obtained for the mass density is 9.1 g/cm3.

Unit cell a=7.902 b=7.902 c=3.641 alpha=90.00 beta=90.00 gamma=90.00
Fractional positions:
Sr: 0.000 0.000 0.000
Sr: 0.500 0.500 0.000
Ni: 0.112 0.388 0.000
Ni: 0.388 0.888 0.000
Ni: 0.612 0.112 0.000
Ni: 0.888 0.612 0.000
Bi: 0.161 0.661 0.500
Bi: 0.339 0.161 0.500
Bi: 0.661 0.839 0.500
Bi: 0.839 0.339 0.500